Compound: TbZrCSe
Source: Alexandria via LeMat-Bulk
Functional: PBE
Structure: relaxed

a = 3.5866 Å, b = 3.5862 Å, c = 6.9260 Å
α = 90.00°, β = 105.00°, γ = 119.99°
Element x y z (fractional)
Zr: 0.0985 0.9472 0.0611
C: 0.3194 0.5576 0.8921
Se: 0.9570 0.3765 0.3488
Tb: 0.5030 0.1495 0.6676

Values from the calculation:
For the density, the calculation gives 7.69 Mg/m³. For the density of states at the Fermi level, the calculation gives 0.57 states/eV per atom. The raw formation energy comes out at -108.0 kJ/mol of atoms.